First-principles (GGA-PBEsol) data for an optimized crystal structure of Sb2AuSe2, as listed in the Alexandria database.

Properties
formation energy from raw total energies: 0.2336 eV per atom

extended XYZ file:
```
10
Lattice="7.865 0.000 0.000 0.000 7.865 0.000 0.000 0.000 3.703" Properties=species:S:1:pos:R:3 pbc="T T T"
Sb 1.307 2.625 0.000
Sb 2.625 6.558 0.000
Sb 5.240 1.307 0.000
Sb 6.558 5.240 0.000
Au 0.000 0.000 1.851
Au 3.933 3.933 1.851
Se 1.164 5.097 1.851
Se 2.768 1.164 1.851
Se 5.097 6.701 1.851
Se 6.701 2.768 1.851
```

=====

First-principles (GGA-PBEsol) data for an optimized crystal structure of FeSnNF2, as listed in the Alexandria database.

Properties
formation energy from raw total energies: -0.2103 eV per atom

extended XYZ file:
```
5
Lattice="4.216 0.000 0.000 0.000 4.216 0.000 0.000 0.000 3.998" Properties=species:S:1:pos:R:3 pbc="T T T"
Fe 0.000 0.000 0.000
Sn 2.108 2.108 1.999
N 2.108 2.108 0.000
F 0.000 2.108 1.999
F 2.108 0.000 1.999
```